First-principles (PBE-GGA) data for SrSn4Rh2 after structural relaxation, as listed in the Alexandria database.

Values from the calculation:
- ΔE_f: -0.559 eV/atom
- Density: 8.18 Mg/m³
- Crystal system: orthorhombic
- Symmetry: Pnma (62)
- Magnetic moment: 0.00 Bohr magnetons per cell

Cell lengths 18.902, 4.536, 7.272 Å; angles 90.00, 90.00, 90.00 degrees
Sites, in units of the cell vectors:
Sr: 0.142 0.250 0.009
Sr: 0.358 0.750 0.509
Sr: 0.642 0.250 0.491
Sr: 0.858 0.750 0.991
Sn: 0.031 0.750 0.865
Sn: 0.069 0.250 0.484
Sn: 0.183 0.750 0.310
Sn: 0.195 0.750 0.728
Sn: 0.305 0.250 0.228
Sn: 0.317 0.250 0.810
Sn: 0.431 0.750 0.984
Sn: 0.469 0.250 0.365
Sn: 0.531 0.750 0.635
Sn: 0.569 0.250 0.016
Sn: 0.683 0.750 0.190
Sn: 0.695 0.750 0.772
Sn: 0.805 0.250 0.272
Sn: 0.817 0.250 0.690
Sn: 0.931 0.750 0.516
Sn: 0.969 0.250 0.135
Rh: 0.036 0.750 0.258
Rh: 0.214 0.250 0.523
Rh: 0.286 0.750 0.023
Rh: 0.464 0.250 0.758
Rh: 0.536 0.750 0.242
Rh: 0.714 0.250 0.977
Rh: 0.786 0.750 0.477
Rh: 0.964 0.250 0.742

First-principles (PBE-GGA) data for SrSn2Rh after structural relaxation, as listed in the Alexandria database.

Values from the calculation:
- ΔE_f: -0.241 eV/atom
- Density: 7.69 Mg/m³
- Crystal system: cubic
- Symmetry: Fm-3m (225)
- Magnetic moment: 0.00 Bohr magnetons per cell

Cell lengths 5.074, 5.074, 5.074 Å; angles 60.00, 60.00, 60.00 degrees
Sites, in units of the cell vectors:
Sr: 0.000 0.000 0.000
Sn: 0.250 0.250 0.250
Sn: 0.750 0.750 0.750
Rh: 0.500 0.500 0.500

First-principles (PBE-GGA) data for SrSn2Rh after structural relaxation, as listed in the Alexandria database.

Values from the calculation:
- ΔE_f: -0.228 eV/atom
- Density: 5.63 Mg/m³
- Crystal system: tetragonal
- Symmetry: I-42d (122)
- Magnetic moment: 0.00 Bohr magnetons per cell

Cell lengths 9.592, 9.592, 9.592 Å; angles 147.62, 147.62, 46.45 degrees
Sites, in units of the cell vectors:
Sr: 0.000 0.000 0.000
Sr: 0.750 0.250 0.500
Sn: 0.283 0.625 0.158
Sn: 0.375 0.533 0.658
Sn: 0.467 0.125 0.842
Sn: 0.875 0.717 0.342
Rh: 0.250 0.750 0.500
Rh: 0.500 0.500 0.000

First-principles (PBE-GGA) data for Sr4SnRh after structural relaxation, as listed in the Alexandria database.

Values from the calculation:
- ΔE_f: -0.389 eV/atom
- Density: 4.34 Mg/m³
- Crystal system: monoclinic
- Symmetry: C2/c (15)
- Magnetic moment: 0.00 Bohr magnetons per cell

Cell lengths 8.872, 8.872, 6.804 Å; angles 105.16, 105.16, 112.30 degrees
Sites, in units of the cell vectors:
Sr: 0.053 0.716 0.925
Sr: 0.224 0.349 0.693
Sr: 0.284 0.947 0.575
Sr: 0.349 0.224 0.193
Sr: 0.651 0.776 0.807
Sr: 0.716 0.053 0.425
Sr: 0.776 0.651 0.307
Sr: 0.947 0.284 0.075
Sn: 0.364 0.636 0.250
Sn: 0.636 0.364 0.750
Rh: 0.001 0.999 0.750
Rh: 0.999 0.001 0.250

First-principles (PBE-GGA) data for Sr3Sn4Rh2 after structural relaxation, as listed in the Alexandria database.

Values from the calculation:
- ΔE_f: -0.560 eV/atom
- Density: 6.28 Mg/m³
- Crystal system: monoclinic
- Symmetry: C2/m (12)
- Energy above the lowest structure with this stoichiometry: 72 meV per atom
- Magnetic moment: 0.00 Bohr magnetons per cell

Cell lengths 6.493, 6.493, 9.285 Å; angles 103.70, 103.70, 41.18 degrees
Sites, in units of the cell vectors:
Sr: 0.000 0.000 0.000
Sr: 0.375 0.375 0.616
Sr: 0.625 0.625 0.384
Sn: 0.088 0.088 0.659
Sn: 0.299 0.299 0.927
Sn: 0.701 0.701 0.073
Sn: 0.912 0.912 0.341
Rh: 0.314 0.314 0.225
Rh: 0.686 0.686 0.775

First-principles (PBE-GGA) data for SrSn2Rh after structural relaxation, as listed in the Alexandria database.

Values from the calculation:
- ΔE_f: -0.604 eV/atom
- Density: 7.21 Mg/m³
- Crystal system: orthorhombic
- Symmetry: Pnma (62)
- Magnetic moment: 0.00 Bohr magnetons per cell

Cell lengths 16.719, 7.599, 6.203 Å; angles 90.00, 90.00, 90.00 degrees
Sites, in units of the cell vectors:
Sr: 0.105 0.250 0.225
Sr: 0.139 0.750 0.014
Sr: 0.361 0.250 0.514
Sr: 0.395 0.750 0.725
Sr: 0.605 0.250 0.275
Sr: 0.639 0.750 0.486
Sr: 0.861 0.250 0.986
Sr: 0.895 0.750 0.775
Sn: 0.039 0.052 0.726
Sn: 0.039 0.448 0.726
Sn: 0.212 0.551 0.507
Sn: 0.212 0.949 0.507
Sn: 0.288 0.051 0.007
Sn: 0.288 0.449 0.007
Sn: 0.461 0.552 0.226
Sn: 0.461 0.948 0.226
Sn: 0.539 0.052 0.774
Sn: 0.539 0.448 0.774
Sn: 0.712 0.551 0.993
Sn: 0.712 0.949 0.993
Sn: 0.788 0.051 0.493
Sn: 0.788 0.449 0.493
Sn: 0.961 0.552 0.274
Sn: 0.961 0.948 0.274
Rh: 0.074 0.750 0.497
Rh: 0.180 0.250 0.747
Rh: 0.320 0.750 0.247
Rh: 0.426 0.250 0.997
Rh: 0.574 0.750 0.003
Rh: 0.680 0.250 0.753
Rh: 0.820 0.750 0.253
Rh: 0.926 0.250 0.503

First-principles (PBE-GGA) data for Sr2Sn6Rh9 after structural relaxation, as listed in the Alexandria database.

Values from the calculation:
- ΔE_f: -0.391 eV/atom
- Density: 8.11 Mg/m³
- Crystal system: hexagonal
- Symmetry: P6/mmm (191)
- Magnetic moment: 0.00 Bohr magnetons per cell

Cell lengths 5.936, 5.936, 12.171 Å; angles 90.00, 90.00, 120.00 degrees
Sites, in units of the cell vectors:
Sr: 0.000 0.000 0.219
Sr: 0.000 0.000 0.781
Sn: 0.333 0.667 0.165
Sn: 0.333 0.667 0.500
Sn: 0.333 0.667 0.835
Sn: 0.667 0.333 0.165
Sn: 0.667 0.333 0.500
Sn: 0.667 0.333 0.835
Rh: 0.000 0.500 0.000
Rh: 0.000 0.500 0.332
Rh: 0.000 0.500 0.668
Rh: 0.500 0.000 0.000
Rh: 0.500 0.000 0.332
Rh: 0.500 0.000 0.668
Rh: 0.500 0.500 0.000
Rh: 0.500 0.500 0.332
Rh: 0.500 0.500 0.668

First-principles (PBE-GGA) data for SrSn3Rh after structural relaxation, as listed in the Alexandria database.

Values from the calculation:
- ΔE_f: -0.248 eV/atom
- Density: 6.32 Mg/m³
- Crystal system: cubic
- Symmetry: Pm-3m (221)
- Magnetic moment: 0.00 Bohr magnetons per cell

Cell lengths 5.237, 5.237, 5.237 Å; angles 90.00, 90.00, 90.00 degrees
Sites, in units of the cell vectors:
Sr: 0.000 0.000 0.000
Sn: 0.000 0.500 0.500
Sn: 0.500 0.000 0.500
Sn: 0.500 0.500 0.000
Rh: 0.500 0.500 0.500

First-principles (PBE-GGA) data for Sr3Sn2Rh7 after structural relaxation, as listed in the Alexandria database.

Values from the calculation:
- ΔE_f: -0.400 eV/atom
- Density: 8.41 Mg/m³
- Crystal system: trigonal
- Symmetry: R-3m (166)
- Magnetic moment: 0.00 Bohr magnetons per cell

Cell lengths 9.050, 9.050, 9.050 Å; angles 37.03, 37.03, 37.03 degrees
Sites, in units of the cell vectors:
Sr: 0.000 0.000 0.000
Sr: 0.140 0.140 0.140
Sr: 0.860 0.860 0.860
Sn: 0.334 0.334 0.334
Sn: 0.666 0.666 0.666
Rh: 0.084 0.582 0.582
Rh: 0.418 0.418 0.916
Rh: 0.418 0.916 0.418
Rh: 0.500 0.500 0.500
Rh: 0.582 0.084 0.582
Rh: 0.582 0.582 0.084
Rh: 0.916 0.418 0.418

First-principles (PBE-GGA) data for SrSn8Rh2 after structural relaxation, as listed in the Alexandria database.

Values from the calculation:
- ΔE_f: -0.191 eV/atom
- Density: 5.98 Mg/m³
- Crystal system: tetragonal
- Symmetry: P4/mmm (123)
- Magnetic moment: 0.00 Bohr magnetons per cell

Cell lengths 6.454, 6.454, 8.282 Å; angles 90.00, 90.00, 90.00 degrees
Sites, in units of the cell vectors:
Sr: 0.000 0.000 0.000
Sn: 0.254 0.254 0.311
Sn: 0.254 0.254 0.689
Sn: 0.254 0.746 0.311
Sn: 0.254 0.746 0.689
Sn: 0.746 0.254 0.311
Sn: 0.746 0.254 0.689
Sn: 0.746 0.746 0.311
Sn: 0.746 0.746 0.689
Rh: 0.000 0.500 0.500
Rh: 0.500 0.000 0.500